No. 1
A plane-wave DFT calculation with PBE-GGA was carried out for an optimized crystal structure of Ca2AcBr.

The space group is P4/mmm (No. 123) and the conventional cell measures 3.775, 3.775 and 10.291 Å, with angles of 90.00, 90.00 and 90.00 degrees. The asymmetric unit holds Ca at (0.000, 0.000, 0.217), Ac at (0.500, 0.500, 0.500) and Br at (0.500, 0.500, 0.000).

Its total energy is -3.035 eV/atom. The calculation puts the calculated density at 4.38 g/cm³. The crystal system is tetragonal.

No. 2
A plane-wave DFT calculation with PBE-GGA was carried out for an optimized crystal structure of CsCaAcBr6.

The space group is P-31c (No. 163) and the conventional cell measures 7.8392, 7.8392 and 15.7633 Å, with angles of 90.00, 90.00 and 120.00 degrees. The asymmetric unit holds Cs at (0.0000, 0.0000, 0.0000), Ca at (0.3333, 0.6667, 0.2500), Ac at (0.3333, 0.6667, 0.7500) and Br at (0.0119, 0.3816, 0.1425).

Its total energy is -3.892 eV/atom. The calculation puts the calculated density at 3.48 g/cm³. The crystal system is trigonal.

No. 3
A plane-wave DFT calculation with PBE-GGA was carried out for an optimized crystal structure of Cs2CaAcBr6.

The space group is Immm (No. 71) and the conventional cell measures 8.189, 8.680 and 11.927 Å, with angles of 90.00, 90.00 and 90.00 degrees. The asymmetric unit holds Cs at (0.000, 0.000, 0.243), Ca at (0.000, 0.500, 0.500), Ac at (0.000, 0.500, 0.000), Br at (0.000, 0.500, 0.257) and Br at (0.249, 0.262, 0.500).

Its total energy is -3.572 eV/atom. The calculation puts the calculated density at 3.97 g/cm³. The crystal system is orthorhombic.